The following is a DFT calculation (GGA-PBE) of a relaxed structure of LaPtRh2Se.

Results
As for the symmetry: P4/mmm. The total DFT energy (no corrections) comes out at -5.74 eV per atom. The magnetization is 1.237 μB per formula unit.

Cell lengths 4.9001, 4.8689, 4.9001 Å; angles 90.00, 90.00, 90.00 degrees
With the nearest neighbours (Å) after each atom.
Atoms (fractional coordinates):
Rh1 0.0000 0.0000 0.5000  2 Pt 2.45
Rh2 0.5000 0.0000 0.0000  2 Pt 2.45
Se1 0.0000 0.5000 0.0000  2 Pt 2.43
Pt1 0.0000 0.0000 0.0000  2 Se 2.43, 4 Rh 2.45
La1 0.5000 0.5000 0.5000  8 Rh 3.45, 4 Se 3.46